CrNi3 | GGA-PBE | optimized geometry

The calculation puts the density of states at the Fermi level at 0.915 states/eV per atom. Its volume is 77.6 Å³ per cell. The value obtained for the energy is -5.075 eV/atom. Its formation enthalpy at 0 K is 1666 meV/atom.

It has space group Pm-3m (No. 221), with a = 4.265 Å, b = 4.265 Å, c = 4.265 Å, α = 90.00°, β = 90.00° and γ = 90.00°. The inequivalent atoms are Cr at (0.000, 0.000, 0.000) and Ni at (0.000, 0.000, 0.500).